First-principles (GGA+U) data for TeMo2NO after structural relaxation, as listed in Alexandria via LeMat-Bulk.

Values from the calculation:
- E_tot (eV per atom) = -4.369

Cell lengths 5.512, 4.033, 5.512 Å; angles 90.00, 90.00, 90.00 degrees
Atoms (fractional coordinates):
Mo: 0.000 0.000 0.500
Mo: 0.500 0.000 0.000
N: 0.000 0.500 0.000
Te: 0.000 0.000 0.000
O: 0.500 0.500 0.500